Al2AsPd2 | GGA-PBE | optimized geometry

a b c (Å): 7.4742 7.4742 2.8638
angles (deg): 90.00 90.00 90.00
Last column: nearest neighbours and their distance in Å.
Space group P4/mbm (No. 127)
Inequivalent atoms, fractional coordinates:
Al 0.1546 0.3454 0.0000 [4 per cell]  6 Pd 2.59-2.64, 2 Al 2.86
As 0.0000 0.0000 0.5000 [2 per cell]  2 As 2.86, 4 Pd 2.88, 8 Al 3.17
Pd 0.1410 0.6410 0.5000 [4 per cell]  6 Al 2.59-2.64, 2 Pd 2.86, 2 As 2.88

Computed properties:
Its total energy is -5.04 eV/atom. The energy above the most stable polymorph in this dataset is 0 meV/atom. The density of states at the Fermi level comes out at 0.39 states/eV/atom. The formation enthalpy at 0 K is -259.8 kJ/mol of formula units.

---

K2USnS6 | GGA-PBE | optimized geometry

a b c (Å): 7.2090 7.2090 17.3045
angles (deg): 90.00 90.00 120.00
Last column: nearest neighbours and their distance in Å.
Space group R-3 (No. 148, hexagonal axes)
Inequivalent atoms, fractional coordinates:
K 0.0000 0.0000 0.2487 [6 per cell]  3 S 3.19
U 0.0000 0.0000 0.5000 [3 per cell]  6 S 2.54
Sn 0.0000 0.0000 0.0000 [3 per cell]  6 S 2.59
S 0.0044 0.5599 0.2499 [18 per cell]  1 U 2.54, 1 Sn 2.59

Computed properties:
The value obtained for the formation energy from raw total energies is -0.923 eV/atom. Its total energy is -5.15 eV/atom.

---

BaY2RhO5 | GGA-PBE | optimized geometry

a b c (Å): 3.9165 5.8054 11.7441
angles (deg): 90.00 90.00 90.00
Last column: nearest neighbours and their distance in Å.
Space group Immm (No. 71)
Inequivalent atoms, fractional coordinates:
Ba 0.0000 0.0000 0.0000 [2 per cell]  10 O 2.90-3.07
Y 0.0000 0.5000 0.2037 [4 per cell]  7 O 2.24-2.47
Rh 0.0000 0.0000 0.5000 [2 per cell]  2 O 1.96
O 0.0000 0.2408 0.3446 [8 per cell]  3 Y 2.24-2.47, 1 Rh 2.30
O 0.0000 0.5000 0.0000 [2 per cell]  2 Rh 1.96

Computed properties:
The value obtained for the formation energy from raw total energies is -2.486 eV/atom. Its total energy is -7.71 eV/atom. The density of states at the Fermi level comes out at 0.20 states/eV/atom.

---

GaSi2AsH24C8 | GGA-PBE | optimized geometry

a b c (Å): 9.5126 9.9836 10.2577
angles (deg): 76.88 80.67 63.99
Last column: nearest neighbours and their distance in Å.
Space group P-1 (No. 2)
Inequivalent atoms, fractional coordinates:
Ga 0.0289 0.1401 0.0751 [2 per cell]  2 C 1.99-2.00
Si 0.1686 0.1468 0.6757 [2 per cell]  3 C 1.88-1.89
Si 0.2718 0.6870 0.2332 [2 per cell]  3 C 1.88-1.89
As 0.0275 0.8772 0.1556 [2 per cell]  2 Si 2.38, 2 Ga 2.57
H 0.0053 0.2848 0.4773 [2 per cell]  1 C 1.10
H 0.0782 0.0854 0.4891 [2 per cell]  1 C 1.10
H 0.1000 0.4187 0.6823 [2 per cell]  1 C 1.10
H 0.1217 0.7076 0.7366 [2 per cell]  1 C 1.10
H 0.1556 0.5863 0.8957 [2 per cell]  1 C 1.10
H 0.1794 0.4906 0.3617 [2 per cell]  1 C 1.10
H 0.2044 0.1783 0.4275 [2 per cell]  1 C 1.10
H 0.2340 0.4675 0.1913 [2 per cell]  1 C 1.10
H 0.2361 0.7320 0.4712 [2 per cell]  1 C 1.10
H 0.2390 0.2445 0.0410 [2 per cell]  1 C 1.10
H 0.2514 0.2946 0.7894 [2 per cell]  1 C 1.10
H 0.2605 0.7017 0.8380 [2 per cell]  1 C 1.10
H 0.2827 0.0894 0.1768 [2 per cell]  1 C 1.10
H 0.2950 0.3258 0.6128 [2 per cell]  1 C 1.10
H 0.3253 0.8430 0.3615 [2 per cell]  1 C 1.10
H 0.3313 0.0557 0.0086 [2 per cell]  1 C 1.10
H 0.3397 0.8714 0.6801 [2 per cell]  1 C 1.10
H 0.3809 0.4078 0.3054 [2 per cell]  1 C 1.10
H 0.3929 0.9387 0.8024 [2 per cell]  1 C 1.10
H 0.4082 0.6563 0.0043 [2 per cell]  1 C 1.10
H 0.4373 0.6460 0.4142 [2 per cell]  1 C 1.10
H 0.4384 0.7924 0.0682 [2 per cell]  1 C 1.10
H 0.4490 0.9830 0.6300 [2 per cell]  1 C 1.10
H 0.4570 0.4039 0.8706 [2 per cell]  1 C 1.10
C 0.1072 0.1766 0.5017 [2 per cell]  3 H 1.10
C 0.1469 0.6975 0.8402 [2 per cell]  3 H 1.10
C 0.2065 0.3123 0.6919 [2 per cell]  3 H 1.10
C 0.2434 0.1300 0.0743 [2 per cell]  3 H 1.10
C 0.2649 0.4959 0.2770 [2 per cell]  3 H 1.10
C 0.3207 0.7319 0.3846 [2 per cell]  3 H 1.10
C 0.3544 0.9678 0.7004 [2 per cell]  3 H 1.10
C 0.4292 0.6835 0.0951 [2 per cell]  3 H 1.10

Computed properties:
Its total energy is -5.02 eV/atom. The density of states at the Fermi level comes out at 0.00 states/eV/atom.

---

TbTmIn2 | GGA-PBE | optimized geometry

a b c (Å): 3.7406 3.7406 7.5170
angles (deg): 90.00 90.00 90.00
Last column: nearest neighbours and their distance in Å.
Space group P4/mmm (No. 123)
Inequivalent atoms, fractional coordinates:
Tb 0.0000 0.0000 0.0000 [1 per cell]  8 In 3.27
Tm 0.0000 0.0000 0.5000 [1 per cell]  8 In 3.22
In 0.5000 0.5000 0.2558 [2 per cell]  4 Tm 3.22, 4 Tb 3.27

Computed properties:
Its total energy is -4.10 eV/atom. The density of states at the Fermi level comes out at 0.60 states/eV/atom. The formation enthalpy at 0 K is -174.0 kJ/mol of formula units.

---

Ho12AlCo6 | GGA-PBE | optimized geometry

a b c (Å): 9.5692 9.5692 9.5692
angles (deg): 90.00 90.00 90.00
Last column: nearest neighbours and their distance in Å.
Space group Im-3 (No. 204)
Inequivalent atoms, fractional coordinates:
Ho 0.0000 0.3007 0.1930 [24 per cell]  3 Co 2.66-2.87
Al 0.0000 0.0000 0.0000 [2 per cell]  12 Ho 3.42
Co 0.0000 0.1139 0.5000 [12 per cell]  1 Co 2.18

Computed properties:
Its total energy is -5.57 eV/atom. The density of states at the Fermi level comes out at 0.74 states/eV/atom. The formation enthalpy at 0 K is -433.4 kJ/mol of formula units.

---

K3Er3TiS8 | GGA-PBE | optimized geometry

a b c (Å): 7.7849 7.7849 22.5081
angles (deg): 90.00 90.00 120.00
Last column: nearest neighbours and their distance in Å.
Space group R-3m (No. 166, hexagonal axes)
Inequivalent atoms, fractional coordinates:
K 0.0000 0.5000 0.0000 [9 per cell]  6 S 3.18-3.19
Er 0.0000 0.5000 0.5000 [9 per cell]  6 S 2.71-2.73
Ti 0.0000 0.0000 0.5000 [3 per cell]  6 S 2.51
S 0.0000 0.0000 0.2336 [6 per cell]  3 Er 2.71
S 0.0254 0.5127 0.2291 [18 per cell]  1 Ti 2.51, 2 Er 2.73

Computed properties:
The value obtained for the formation energy from raw total energies is -1.747 eV/atom. Its total energy is -5.61 eV/atom.

---

Cs2AlSnTe4 | GGA-PBE | optimized geometry

a b c (Å): 6.9988 15.7110 26.8198
angles (deg): 90.00 90.00 90.00
Last column: nearest neighbours and their distance in Å.
Space group Fddd (No. 70, origin choice 2)
Inequivalent atoms, fractional coordinates:
Cs 0.1250 0.1250 0.3079 [16 per cell]  8 Te 4.10-4.41
Al 0.1250 0.1250 0.6250 [8 per cell]  4 Te 2.67
Sn 0.1250 0.1250 0.1250 [8 per cell]  4 Te 2.92
Te 0.0975 0.2781 0.8171 [32 per cell]  1 Al 2.67, 1 Sn 2.92

Computed properties:
The value obtained for the formation energy from raw total energies is -0.670 eV/atom. Its total energy is -3.42 eV/atom. The density of states at the Fermi level comes out at 0.64 states/eV/atom.

---

| no. | volume (Å³/cell) |
| --- | --- |
| 1 | 160.0 |
| 2 | 778.8 |
| 3 | 267.0 |
| 4 | 850.5 |
| 5 | 105.2 |
| 6 | 876.2 |
| 7 | 1181.3 |
| 8 | 2949.1 |